Here is crystalline TlAg2Os at its relaxed geometry from Alexandria via LeMat-Bulk. Energies are from PBE.

Properties
Its space group is Fm-3m. Its final energy is -3.8752 eV per atom. The calculation puts the polymorph energy (0 for the lowest one) at 314 meV/atom. As for the total magnetic moment: 0.00 μB per cell.

a = 4.6823 Å, b = 4.6823 Å, c = 4.6823 Å
α = 60.00°, β = 60.00°, γ = 60.00°
Last column: nearest neighbours and their distance in Å.
Fractional positions:
Ag: 0.2500 0.2500 0.2500  4 Tl 2.87, 4 Os 2.87
Ag: 0.7500 0.7500 0.7500  4 Os 2.87, 4 Tl 2.87
Tl: 0.5000 0.5000 0.5000  8 Ag 2.87
Os: 0.0000 0.0000 0.0000  8 Ag 2.87